No. 1
Entry from Alexandria: a geometry-optimized MgNi2P2O10 structure (PBE+U).

Crystal system: orthorhombic
DOS(E_F), states/eV/cell: 43.6
E_tot, eV per atom: -5.950

a = 6.9175 Å, b = 11.0857 Å, c = 16.4322 Å
α = 90.00°, β = 90.00°, γ = 90.00°
Space group Fddd (No. 70, origin choice 2)
Unique sites:
Mg (0.1250, 0.1250, 0.1250) (multiplicity 8)
Ni (0.0000, 0.0000, 0.5000) (multiplicity 16)
P (0.1250, 0.1250, 0.3288) (multiplicity 16)
O (0.0472, 0.3629, 0.5184) (multiplicity 32)
O (0.0945, 0.0123, 0.8670) (multiplicity 32)
O (0.1250, 0.1250, 0.5481) (multiplicity 16)



No. 2
Entry from Alexandria: a geometry-optimized MgNiP4O12 structure (PBE+U).

Crystal system: monoclinic
DOS(E_F), states/eV/cell: 0.0
E_tot, eV per atom: -6.916

a = 11.8620 Å, b = 8.3469 Å, c = 10.0347 Å
α = 90.00°, β = 118.64°, γ = 90.00°
Space group C2/c (No. 15)
Unique sites:
Mg (0.0000, 0.0521, 0.2500) (multiplicity 4)
Ni (0.2500, 0.2500, 0.5000) (multiplicity 4)
P (0.0073, 0.2619, 0.9762) (multiplicity 8)
P (0.1963, 0.4898, 0.1954) (multiplicity 8)
O (0.0281, 0.1203, 0.9027) (multiplicity 8)
O (0.0501, 0.2406, 0.4177) (multiplicity 8)
O (0.0766, 0.3924, 0.6520) (multiplicity 8)
O (0.1425, 0.3537, 0.0654) (multiplicity 8)
O (0.2020, 0.0793, 0.3263) (multiplicity 8)
O (0.2336, 0.4220, 0.3473) (multiplicity 8)



No. 3
Entry from Alexandria: a geometry-optimized SrMgNiP2O8 structure (PBE+U).

Crystal system: triclinic
DOS(E_F), states/eV/cell: 0.0
E_tot, eV per atom: -6.775

a = 5.5053 Å, b = 6.9215 Å, c = 9.2935 Å
α = 111.09°, β = 101.08°, γ = 98.16°
Space group P-1 (No. 2)
Unique sites:
Sr (0.2434, 0.1967, 0.4455) (multiplicity 2)
Mg (0.4900, 0.3926, 0.1603) (multiplicity 2)
Ni (0.1420, 0.8537, 0.0601) (multiplicity 2)
P (0.1078, 0.5731, 0.2593) (multiplicity 2)
P (0.3447, 0.0281, 0.8053) (multiplicity 2)
O (0.1168, 0.4069, 0.0940) (multiplicity 2)
O (0.1192, 0.9541, 0.8686) (multiplicity 2)
O (0.1495, 0.4765, 0.7019) (multiplicity 2)
O (0.1600, 0.7994, 0.2624) (multiplicity 2)
O (0.2437, 0.0081, 0.6348) (multiplicity 2)
O (0.3356, 0.5467, 0.3750) (multiplicity 2)
O (0.4567, 0.1160, 0.1942) (multiplicity 2)
O (0.4987, 0.7442, 0.0717) (multiplicity 2)



No. 4
Entry from Alexandria: a geometry-optimized SrMgNiP2O8 structure (PBE+U).

Crystal system: triclinic
DOS(E_F), states/eV/cell: 0.0
E_tot, eV per atom: -6.641

a = 6.1050 Å, b = 6.6955 Å, c = 8.9360 Å
α = 105.90°, β = 104.43°, γ = 100.17°
Space group P-1 (No. 2)
Unique sites:
Sr (0.1778, 0.2370, 0.4337) (multiplicity 2)
Mg (0.1994, 0.1673, 0.0255) (multiplicity 2)
Ni (0.2529, 0.6625, 0.9061) (multiplicity 2)
P (0.2215, 0.6288, 0.2576) (multiplicity 2)
P (0.4419, 0.0131, 0.7537) (multiplicity 2)
O (0.0267, 0.3981, 0.7248) (multiplicity 2)
O (0.0519, 0.8578, 0.8716) (multiplicity 2)
O (0.2234, 0.5017, 0.0848) (multiplicity 2)
O (0.2382, 0.9839, 0.6058) (multiplicity 2)
O (0.3099, 0.8850, 0.2758) (multiplicity 2)
O (0.3915, 0.5888, 0.3942) (multiplicity 2)
O (0.4439, 0.1842, 0.9098) (multiplicity 2)
O (0.4892, 0.8051, 0.7807) (multiplicity 2)



No. 5
Entry from Alexandria: a geometry-optimized MgPaNi2O6 structure (PBE+U).

Crystal system: monoclinic
DOS(E_F), states/eV/cell: 8.4
E_tot, eV per atom: -6.626

a = 5.3303 Å, b = 5.6427 Å, c = 9.2848 Å
α = 90.00°, β = 123.48°, γ = 90.00°
Space group P2_1/c (No. 14)
Unique sites:
Mg (0.0000, 0.0000, 0.0000) (multiplicity 2)
Pa (0.5000, 0.0000, 0.5000) (multiplicity 2)
Ni (0.2773, 0.0383, 0.7944) (multiplicity 4)
O (0.0942, 0.1107, 0.2368) (multiplicity 4)
O (0.2792, 0.6629, 0.1088) (multiplicity 4)
O (0.3750, 0.1560, 0.0386) (multiplicity 4)



No. 6
Entry from Alexandria: a geometry-optimized Mg2PaNiO6 structure (PBE+U).

Crystal system: tetragonal
DOS(E_F), states/eV/cell: 4.4
E_tot, eV per atom: -6.572

a = 5.8592 Å, b = 5.8592 Å, c = 4.3510 Å
α = 90.00°, β = 90.00°, γ = 90.00°
Space group P4mm (No. 99)
Unique sites:
Mg (0.0000, 0.5000, 0.0000) (multiplicity 2)
Pa (0.0000, 0.0000, 0.7799) (multiplicity 1)
Ni (0.5000, 0.5000, 0.8192) (multiplicity 1)
O (0.0000, 0.0000, 0.3015) (multiplicity 1)
O (0.2555, 0.2555, 0.8769) (multiplicity 4)
O (0.5000, 0.5000, 0.3605) (multiplicity 1)